{"formula": "Ir2BrCl", "functional": "PBE-GGA", "state": "optimized geometry", "cell": [[3.072, 0.000, 0.000], [0.000, 3.072, 0.000], [0.000, 0.000, 8.783]], "species": ["Ir", "Ir", "Br", "Cl"], "frac_coords": [[0.000, 0.000, 0.000], [0.500, 0.500, 0.168], [0.000, 0.000, 0.381], [0.500, 0.500, 0.804]], "space_group": "P4mm (99)", "e_form_raw_ev_per_atom": 0.51, "dos_ef_per_ev_fu": 1.24, "e_tot_ev_per_atom": -4.800}